HfV2SeF | PBE with a Hubbard U | relaxed

Unit cell a=5.330 b=4.029 c=5.330 alpha=90.00 beta=90.00 gamma=90.00
Positions (direct):
V 0.000 0.000 0.500
V 0.500 0.000 0.000
Se 0.500 0.500 0.500
F 0.000 0.500 0.000
Hf 0.000 0.000 0.000

Computed properties:
Raw total energy: -5.75 eV per atom
Magnetization: 6.1 μB per formula unit
N(E_F): 2.8 states/eV/f.u.